[1]
DFT (GGA-PBE) results for a geometry-optimized LiLaSi structure.

Structure (CIF):
```
data_LiLaSi
_cell_length_a 4.4474
_cell_length_b 4.4474
_cell_length_c 6.8602
_cell_angle_alpha 90.01
_cell_angle_beta 90.01
_cell_angle_gamma 89.99
_symmetry_space_group_name_H-M 'P 1'
_symmetry_Int_Tables_number 1
loop_
_symmetry_equiv_pos_as_xyz
'x,y,z'
loop_
_atom_site_label
_atom_site_type_symbol
_atom_site_fract_x
_atom_site_fract_y
_atom_site_fract_z
Li1 Li 0.7502 0.2498 0.0000
Li2 Li 0.2498 0.7502 0.0000
La1 La 0.2500 0.2500 0.3149
La2 La 0.7500 0.7500 0.6851
Si1 Si 0.7499 0.7499 0.2240
Si2 Si 0.2501 0.2501 0.7760
```



[2]
DFT (GGA-PBE) results for a geometry-optimized LiLaSi structure.

Structure (CIF):
```
data_LiLaSi
_cell_length_a 4.4366
_cell_length_b 4.4366
_cell_length_c 7.7498
_cell_angle_alpha 106.63
_cell_angle_beta 106.63
_cell_angle_gamma 90.00
_symmetry_space_group_name_H-M 'P 1'
_symmetry_Int_Tables_number 1
loop_
_symmetry_equiv_pos_as_xyz
'x,y,z'
loop_
_atom_site_label
_atom_site_type_symbol
_atom_site_fract_x
_atom_site_fract_y
_atom_site_fract_z
Li1 Li 0.8389 0.3389 0.6777
Li2 Li 0.6611 0.1611 0.3223
La1 La 0.2500 0.7500 0.5000
La2 La 0.5000 0.5000 0.0000
Si1 Si 0.9151 0.9151 0.8301
Si2 Si 0.0849 0.0849 0.1699
```



Number 1: size of the total moment 0.00 μB per formula unit, calculated density 4.26 g/cm³, calculated total energy -4.62 eV per atom. Number 2: size of the total moment 0.00 μB per formula unit, calculated density 4.14 g/cm³, calculated total energy -4.46 eV per atom.